# 1
# CsTiRu2

Crystalline CsTiRu2 at its relaxed geometry (GGA-PBE, the Alexandria database).

Cell: 5.2406 5.2406 16.1012 Å, 90.00 90.00 90.00°
Closest atoms and distances in Å follow each position.
Space group I-42d (No. 122)
Unique sites:
Cs (0.0000, 0.0000, 0.0000) [4 per cell]  8 Ru 3.46-3.65, 4 Ti 3.71
Ti (0.0000, 0.0000, 0.5000) [4 per cell]  4 Ru 2.41
Ru (0.0256, 0.7500, 0.6250) [8 per cell]  2 Ti 2.41, 2 Ru 2.63

Calculated values
* N(E_F): 16.443 states/eV per cell
* E_form: 4.55 eV per formula unit
* relative energy among the computed polymorphs: 0 meV/atom
* VASP energy: -5.688 eV/atom

***

# 2
# Cs3TiRu

Crystalline Cs3TiRu at its relaxed geometry (GGA-PBE, the Alexandria database).

Cell: 6.0502 6.0502 6.0502 Å, 90.00 90.00 90.00°
Closest atoms and distances in Å follow each position.
Space group Pm-3m (No. 221)
Unique sites:
Cs (0.0000, 0.0000, 0.5000) [3 per cell]  2 Ru 3.03
Ti (0.5000, 0.5000, 0.5000) [1 per cell]  12 Cs 4.28
Ru (0.0000, 0.0000, 0.0000) [1 per cell]  6 Cs 3.03

Calculated values
* N(E_F): 23.241 states/eV per cell
* E_form: 8.31 eV per formula unit
* VASP energy: -2.284 eV/atom

***

# 3
# CsTiRu3

Crystalline CsTiRu3 at its relaxed geometry (GGA-PBE, the Alexandria database).

Cell: 4.8241 4.8241 4.8241 Å, 90.00 90.00 90.00°
Closest atoms and distances in Å follow each position.
Space group Pm-3m (No. 221)
Unique sites:
Cs (0.0000, 0.0000, 0.0000) [1 per cell]  12 Ru 3.41
Ti (0.5000, 0.5000, 0.5000) [1 per cell]  6 Ru 2.41
Ru (0.0000, 0.5000, 0.5000) [3 per cell]  2 Ti 2.41

Calculated values
* N(E_F): 5.640 states/eV per cell
* E_form: 7.03 eV per formula unit
* relative energy among the computed polymorphs: 0 meV/atom
* VASP energy: -5.909 eV/atom

***

# 4
# Cs2TiRu

Crystalline Cs2TiRu at its relaxed geometry (GGA-PBE, the Alexandria database).

Cell: 8.0012 8.0012 8.0012 Å, 90.00 90.00 90.00°
Closest atoms and distances in Å follow each position.
Space group Fm-3m (No. 225)
Unique sites:
Cs (0.2500, 0.2500, 0.2500) [8 per cell]  4 Ru 3.46, 4 Ti 3.46
Ti (0.0000, 0.0000, 0.0000) [4 per cell]  8 Cs 3.46
Ru (0.0000, 0.0000, 0.5000) [4 per cell]  8 Cs 3.46

Calculated values
* N(E_F): 41.612 states/eV per cell
* E_form: 7.57 eV per formula unit
* relative energy among the computed polymorphs: 1003 meV/atom
* VASP energy: -2.828 eV/atom

***

Which formula does entry 1 have? CsTiRu2

***

The highest VASP energy belongs to which entry? Cs3TiRu

***

N(E_F) of number 1 (CsTiRu2)? 16.443 states/eV per cell